Density functional theory data (PBE-GGA) for TmCdInSn after structural relaxation.

Cell lengths 4.4650, 4.7470, 4.5868 Å; angles 90.00, 90.00, 90.00 degrees
Positions (direct):
Tm1 0.0000 0.5000 0.5000
Cd1 0.0000 0.0000 0.0000
In1 0.5000 0.0000 0.5000
Sn1 0.5000 0.5000 0.0000

Calculated values
**Symmetry**: Pmmm (47)
**Theoretical density**: 8.8 g/cm³
**Calculated formation energy**: -384 meV/atom
**V**: 24.3 A^3/atom
**E**: -3.416 eV per atom

Density functional theory data (PBE-GGA) for NaNb2FeRh after structural relaxation.

Cell lengths 4.5007, 4.7134, 4.5007 Å; angles 90.00, 90.00, 90.00 degrees
Positions (direct):
Na1 0.0000 0.5000 0.0000
Nb1 0.0000 0.0000 0.5000
Nb2 0.5000 0.0000 0.0000
Rh1 0.5000 0.5000 0.5000
Fe1 0.0000 0.0000 0.0000

Calculated values
**Symmetry**: P4/mmm (123)
**Theoretical density**: 6.4 g/cm³
**Calculated formation energy**: 1047 meV/atom
**V**: 19.1 A^3/atom
**E**: -6.408 eV per atom

Density functional theory data (PBE-GGA) for ZrZnTe after structural relaxation.

Cell lengths 3.6808, 3.6808, 6.3997 Å; angles 90.00, 90.00, 120.00 degrees
Positions (direct):
Te1 0.0000 0.0000 0.9711
Zn1 0.3333 0.6667 0.3586
Zr1 0.6667 0.3333 0.6702

Calculated values
**ΔE_f (raw)**: -173.2 meV per atom
**Relative energy among the computed polymorphs**: 268.5 meV/atom
**Symmetry**: P3m1 (156)
**Theoretical density**: 6.3 g/cm³
**V**: 25.0 A^3/atom
**E**: -4.494 eV per atom

Density functional theory data (PBE-GGA) for AcLaPt4 after structural relaxation.

Cell lengths 5.6090, 5.6090, 5.6090 Å; angles 60.00, 60.00, 60.00 degrees
Positions (direct):
Ac1 0.0000 0.0000 0.0000
Pt1 0.6249 0.6249 0.1253
Pt2 0.6249 0.1253 0.6249
Pt3 0.6249 0.6249 0.6249
Pt4 0.1253 0.6249 0.6249
La1 0.2500 0.2500 0.2500

Calculated values
**Symmetry**: F-43m (216)
**Theoretical density**: 15.3 g/cm³
**Calculated formation energy**: -1061 meV/atom
**V**: 20.8 A^3/atom
**E**: -6.594 eV per atom

Density functional theory data (PBE-GGA) for Li3CeCl6 after structural relaxation.

Cell lengths 7.4399, 7.4238, 7.4238 Å; angles 62.31, 62.56, 62.55 degrees
Last column: magnetic moment on the atom in μB.
Positions (direct):
Li1 0.5000 0.5000 0.0000  0.00
Li2 0.5000 0.0000 0.5000  0.00
Li3 0.5000 0.5000 0.5000  0.00
Ce1 0.0000 0.0000 0.0000  0.98
Cl1 0.7189 0.7708 0.2795  -0.01
Cl2 0.2811 0.2292 0.7205  -0.01
Cl3 0.7220 0.2828 0.7679  -0.01
Cl4 0.2780 0.7172 0.2321  -0.01
Cl5 0.2817 0.7409 0.7407  0.00
Cl6 0.7183 0.2591 0.2593  0.00

Calculated values
**ΔE_f (raw)**: -1893.6 meV per atom
**Relative energy among the computed polymorphs**: 0.0 meV/atom
**Symmetry**: P-1 (2)
**Theoretical density**: 2.0 g/cm³
**V**: 30.6 A^3/atom
**E**: -4.169 eV per atom

Density functional theory data (PBE-GGA) for Li2SmPd6 after structural relaxation.

Cell lengths 4.7052, 4.7052, 8.9988 Å; angles 90.00, 90.00, 120.00 degrees
Positions (direct):
Li1 0.3333 0.6667 0.5000
Li2 0.6667 0.3333 0.5000
Sm1 0.0000 0.0000 0.0000
Pd1 0.6623 0.0000 0.2605
Pd2 0.3377 0.3377 0.2605
Pd3 0.0000 0.6623 0.2605
Pd4 0.6623 0.6623 0.7395
Pd5 0.0000 0.3377 0.7395
Pd6 0.3377 0.0000 0.7395

Calculated values
**Symmetry**: P-31m (162)
**Theoretical density**: 7.7 g/cm³
**Calculated formation energy**: -337 meV/atom
**V**: 19.2 A^3/atom
**E**: -4.749 eV per atom